No. 1
Below is a relaxed structure of Nd4Sm2Y2Er, with properties calculated at the PBE-GGA level.

Cell: 15.3784 5.1360 8.1009 Å, 90.00 108.55 90.00°
Closest atoms and distances in Å follow each position.
Space group C2/m (No. 12)
One atom of each set of equivalent atoms:
1 Nd 0.0547 0.0000 0.3312 (multiplicity 4)  2 Sm 3.60-3.61, 2 Er 3.61, 4 Y 3.62-3.65, 4 Nd 3.63-3.64
2 Nd 0.2219 0.5000 0.3325 (multiplicity 4)  1 Er 3.61, 3 Sm 3.62-3.63, 5 Nd 3.63-3.64, 3 Y 3.64-3.65
3 Sm 0.1661 0.0000 0.0001 (multiplicity 4)  5 Nd 3.60-3.63, 3 Y 3.61-3.62, 2 Er 3.62, 2 Sm 3.64
4 Y 0.1110 0.5000 0.6690 (multiplicity 4)  1 Er 3.61, 3 Sm 3.61-3.62, 7 Nd 3.62-3.65, 1 Y 3.63
5 Er 0.0000 0.5000 0.0000 (multiplicity 2)  2 Y 3.61, 6 Nd 3.61, 4 Sm 3.62

Computed properties:
As for the density of states at the Fermi level: 26.9 states/eV per cell. The calculation puts the energy at -91.72 eV for the cell shown. The calculation puts the density at 6.69 g/cm³.

---

No. 2
Below is a relaxed structure of Ce4Ge2Pt, with properties calculated at the PBE-GGA level.

Cell: 4.2432 4.2432 35.1892 Å, 90.00 90.00 120.00°
Closest atoms and distances in Å follow each position.
Space group R-3m (No. 166, hexagonal axes)
One atom of each set of equivalent atoms:
1 Ce 0.0000 0.0000 0.1199 (multiplicity 6)  3 Pt 2.95, 3 Ge 3.03
2 Ce 0.0000 0.0000 0.3114 (multiplicity 6)  3 Ce 2.90, 4 Ge 2.96-3.21
3 Ge 0.0000 0.0000 0.4026 (multiplicity 6)  7 Ce 2.96-3.21
4 Pt 0.0000 0.0000 0.5000 (multiplicity 3)  6 Ce 2.95

Computed properties:
As for the density of states at the Fermi level: 61.2 states/eV per cell. The calculation puts the energy at -129.30 eV for the cell shown. The calculation puts the density at 8.18 g/cm³.

---

No. 3
Below is a relaxed structure of LaNd2GaN, with properties calculated at the PBE-GGA level.

Cell: 5.0032 5.0032 5.0197 Å, 90.00 90.00 90.00°
Closest atoms and distances in Å follow each position.
Space group P4/mmm (No. 123)
One atom of each set of equivalent atoms:
1 La 0.0000 0.0000 0.0000 (multiplicity 1)  2 N 2.51
2 Nd 0.0000 0.5000 0.5000 (multiplicity 2)  2 N 2.50
3 Ga 0.5000 0.5000 0.0000 (multiplicity 1)  4 La 3.54, 8 Nd 3.54
4 N 0.0000 0.0000 0.5000 (multiplicity 1)  4 Nd 2.50, 2 La 2.51

Computed properties:
As for the density of states at the Fermi level: 2.9 states/eV per cell. The calculation puts the energy at -29.88 eV for the cell shown. The calculation puts the density at 6.75 g/cm³. For the energy relative to the elements, uncorrected, the calculation gives -0.812 eV per atom.

---

No. 4
Below is a relaxed structure of IrW2Br, with properties calculated at the PBE-GGA level.

Cell: 5.3212 8.6004 2.8751 Å, 90.00 90.00 90.00°
Closest atoms and distances in Å follow each position.
Space group Cmmm (No. 65)
One atom of each set of equivalent atoms:
1 Ir 0.0000 0.0000 0.0000 (multiplicity 2)  2 Br 2.66, 2 Ir 2.88, 8 W 2.91
2 W 0.2500 0.2500 0.5000 (multiplicity 4)  4 W 2.66-2.88, 4 Br 2.91, 4 Ir 2.91
3 Br 0.0000 0.5000 0.0000 (multiplicity 2)  2 Ir 2.66, 2 Br 2.88, 8 W 2.91

Computed properties:
As for the density of states at the Fermi level: 5.9 states/eV per cell. The calculation puts the energy at -64.56 eV for the cell shown. For the energy above the most stable polymorph in this dataset, the calculation gives 550 meV/atom. The calculation puts the density at 16.15 g/cm³. For the energy relative to the elements, uncorrected, the calculation gives 1.040 eV per atom.

---

No. 5
Below is a relaxed structure of SrZnSnP2O8, with properties calculated at the PBE-GGA level.

Cell: 5.4846 8.4238 9.6557 Å, 110.04 104.92 92.07°
Closest atoms and distances in Å follow each position.
Space group P-1 (No. 2)
One atom of each set of equivalent atoms:
1 Sr 0.0886 0.2513 0.4967 (multiplicity 2)  7 O 2.52-2.75
2 Zn 0.3980 0.7013 0.8863 (multiplicity 2)  4 O 1.93-2.02
3 Sn 0.0188 0.8371 0.1209 (multiplicity 2)  3 O 2.14-2.36
4 P 0.1645 0.5058 0.2413 (multiplicity 2)  4 O 1.53-1.58
5 P 0.4499 0.9874 0.7370 (multiplicity 2)  4 O 1.53-1.59
6 O 0.0611 0.6123 0.8993 (multiplicity 2)  1 P 1.58
7 O 0.1182 0.6962 0.2690 (multiplicity 2)  1 P 1.57
8 O 0.1538 0.4792 0.3886 (multiplicity 2)  1 P 1.53
9 O 0.2440 0.0478 0.6339 (multiplicity 2)  1 P 1.53
10 O 0.3106 0.8345 0.7544 (multiplicity 2)  1 P 1.55
11 O 0.3131 0.0608 0.3199 (multiplicity 2)  1 P 1.55
12 O 0.4201 0.4810 0.2017 (multiplicity 2)  1 P 1.55
13 O 0.4208 0.8641 0.1011 (multiplicity 2)  1 P 1.59

Computed properties:
As for the density of states at the Fermi level: 0.0 states/eV per cell. The calculation puts the energy at -172.66 eV for the cell shown. The calculation puts the density at 3.82 g/cm³. For the energy relative to the elements, uncorrected, the calculation gives -2.222 eV per atom.

---

No. 6
Below is a relaxed structure of KSrGaRe2, with properties calculated at the PBE-GGA level.

Cell: 4.7692 4.7692 5.7180 Å, 90.00 90.00 90.00°
Closest atoms and distances in Å follow each position.
Space group P4/mmm (No. 123)
One atom of each set of equivalent atoms:
1 K 0.0000 0.0000 0.0000 (multiplicity 1)  4 Sr 3.37, 8 Re 3.72
2 Sr 0.5000 0.5000 0.0000 (multiplicity 1)  2 Ga 2.86
3 Ga 0.5000 0.5000 0.5000 (multiplicity 1)  4 Re 2.38
4 Re 0.0000 0.5000 0.5000 (multiplicity 2)  2 Ga 2.38

Computed properties:
As for the density of states at the Fermi level: 5.9 states/eV per cell. The calculation puts the energy at -23.53 eV for the cell shown. The calculation puts the density at 7.26 g/cm³.

---

No. 7
Below is a relaxed structure of DyEr2In3Te6, with properties calculated at the PBE-GGA level.

Cell: 7.6099 13.1810 8.5047 Å, 90.00 107.36 90.00°
Closest atoms and distances in Å follow each position.
Space group C2/m (No. 12)
One atom of each set of equivalent atoms:
1 Dy 0.0000 0.0000 0.0000 (multiplicity 2)  6 Te 3.10
2 Er 0.0000 0.3333 0.0000 (multiplicity 4)  6 Te 3.08
3 In 0.0000 0.1661 0.5000 (multiplicity 4)  6 Te 3.41-3.43
4 In 0.0000 0.5000 0.5000 (multiplicity 2)  6 Te 3.41-3.42
5 Te 0.2371 0.5000 0.2170 (multiplicity 4)  2 Er 3.08, 1 Dy 3.10, 3 In 3.41-3.42
6 Te 0.2402 0.1676 0.2175 (multiplicity 8)  2 Er 3.08, 1 Dy 3.10, 3 In 3.41-3.43

Computed properties:
As for the density of states at the Fermi level: 2.0 states/eV per cell. The calculation puts the energy at -104.61 eV for the cell shown. The calculation puts the density at 6.55 g/cm³. For the energy relative to the elements, uncorrected, the calculation gives -0.959 eV per atom.

---

No. 8
Below is a relaxed structure of BeP2Pt, with properties calculated at the PBE-GGA level.

Cell: 3.4714 3.4714 16.3753 Å, 90.00 90.00 120.00°
Closest atoms and distances in Å follow each position.
Space group R-3m (No. 166, hexagonal axes)
One atom of each set of equivalent atoms:
1 Be 0.0000 0.0000 0.0000 (multiplicity 3)  6 P 2.37
2 P 0.0000 0.0000 0.2557 (multiplicity 6)  3 Be 2.37, 3 Pt 2.48
3 Pt 0.0000 0.0000 0.5000 (multiplicity 3)  6 P 2.48

Computed properties:
As for the density of states at the Fermi level: 7.0 states/eV per cell. The calculation puts the energy at -61.56 eV for the cell shown. The calculation puts the density at 7.76 g/cm³.